# 1
A plane-wave DFT calculation with PBE was carried out for a geometry-optimized Ag4SeS structure.

Cell lengths 8.7157, 13.5379, 6.2586 Å; angles 90.00, 133.96, 90.00 degrees
With the nearest neighbours (Å) after each atom.
Space group C2/c (No. 15)
Asymmetric unit:
Ag1 0.2028 0.0269 0.0930 (multiplicity 8)  1 S 2.49, 1 Se 2.66
Ag2 0.2253 0.2635 0.2180 (multiplicity 8)  1 S 2.54, 2 Se 2.76-2.79
Se1 0.0000 0.1317 0.2500 (multiplicity 4)  8 Ag 2.66-2.92
S1 0.0000 0.3677 0.7500 (multiplicity 4)  4 Ag 2.49-2.54

Output
- ΔE_f (raw): 4 meV/atom
- Relative energy among the computed polymorphs: 0.024 eV per atom

---

# 2
A plane-wave DFT calculation with PBE was carried out for a geometry-optimized TaNbH structure.

Cell lengths 2.9357, 2.9357, 5.2587 Å; angles 90.00, 90.00, 120.00 degrees
With the nearest neighbours (Å) after each atom.
Space group P3m1 (No. 156)
Asymmetric unit:
Ta1 0.0000 0.0000 0.0000 (multiplicity 1)  3 H 2.11
Nb1 0.6667 0.3333 0.4865 (multiplicity 1)  3 H 2.23
H1 0.3333 0.6667 0.7617 (multiplicity 1)  3 Ta 2.11, 3 Nb 2.23

Output
- Relative energy among the computed polymorphs: 0.228 eV per atom

---

# 3
A plane-wave DFT calculation with PBE was carried out for a geometry-optimized Al2CdAu8 structure.

Cell lengths 14.9237, 4.1083, 6.7640 Å; angles 90.00, 109.30, 90.00 degrees
With the nearest neighbours (Å) after each atom.
Space group C2/m (No. 12)
Asymmetric unit:
Al1 0.2136 0.0000 0.1625 (multiplicity 4)  9 Au 2.68-2.91
Cd1 0.0000 0.5000 0.5000 (multiplicity 2)  12 Au 2.84-3.16
Au1 0.0424 0.0000 0.2276 (multiplicity 4)  1 Al 2.73, 7 Au 2.89-3.04, 2 Cd 2.96
Au2 0.1043 0.5000 0.9674 (multiplicity 4)  2 Al 2.68, 5 Au 2.86-2.97
Au3 0.1601 0.0000 0.7369 (multiplicity 4)  3 Al 2.72, 5 Au 2.86-2.99
Au4 0.1781 0.5000 0.4321 (multiplicity 4)  3 Al 2.68-2.91, 1 Cd 2.84, 8 Au 2.89-2.99

Output
- Calculated formation energy: -219 meV/atom

---

# 4
A plane-wave DFT calculation with PBE was carried out for a geometry-optimized Sc2AlPt structure.

Cell lengths 3.3203, 4.6637, 9.8524 Å; angles 90.00, 90.00, 90.00 degrees
With the nearest neighbours (Å) after each atom.
Space group Imm2 (No. 44)
Asymmetric unit:
Sc1 0.0000 0.0000 0.0000 (multiplicity 2)  4 Pt 2.87, 2 Sc 3.15, 2 Al 3.17
Sc2 0.0000 0.5000 0.2143 (multiplicity 2)  2 Pt 2.80, 4 Al 2.94
Al1 0.0000 0.5000 0.7821 (multiplicity 2)  2 Pt 2.60
Pt1 0.0000 0.0000 0.4856 (multiplicity 2)  2 Al 2.60, 6 Sc 2.80-2.87

Output
- Calculated formation energy: -779 meV/atom

---

# 5
A plane-wave DFT calculation with PBE was carried out for a geometry-optimized Pa2Al4Ga structure.

Cell lengths 5.5883, 10.1060, 10.5163 Å; angles 90.00, 90.00, 90.00 degrees
With the nearest neighbours (Å) after each atom.
Space group Fmmm (No. 69)
Asymmetric unit:
Pa1 0.0000 0.0000 0.1278 (multiplicity 8)  1 Pa 2.69
Al1 0.2500 0.2500 0.0000 (multiplicity 8)  4 Al 2.63-2.79, 2 Ga 2.89
Al2 0.2500 0.2500 0.2500 (multiplicity 8)  4 Al 2.63-2.79
Ga1 0.0000 0.0000 0.5000 (multiplicity 4)  4 Al 2.89, 4 Pa 3.10

Output
- Calculated formation energy: -23 meV/atom

---

# 6
A plane-wave DFT calculation with PBE was carried out for a geometry-optimized YMnPS2 structure.

Cell lengths 4.5666, 4.5666, 4.5915 Å; angles 90.00, 90.00, 90.00 degrees
With the nearest neighbours (Å) after each atom.
Space group P4/mmm (No. 123)
Asymmetric unit:
Y1 0.0000 0.0000 0.0000 (multiplicity 1)  4 P 3.23, 8 S 3.24
Mn1 0.5000 0.5000 0.5000 (multiplicity 1)  4 S 2.28, 2 P 2.30
P1 0.5000 0.5000 0.0000 (multiplicity 1)  2 Mn 2.30
S1 0.0000 0.5000 0.5000 (multiplicity 2)  2 Mn 2.28

Output
- ΔE_f (raw): -626 meV/atom
- Relative energy among the computed polymorphs: 0.000 eV per atom

---

# 7
A plane-wave DFT calculation with PBE was carried out for a geometry-optimized TcBiTe2N structure.

Cell lengths 5.9255, 5.9255, 4.2749 Å; angles 90.00, 90.00, 90.00 degrees
With the nearest neighbours (Å) after each atom.
Space group P4/mmm (No. 123)
Asymmetric unit:
Tc1 0.0000 0.0000 0.0000 (multiplicity 1)  8 Te 3.65
Bi1 0.5000 0.5000 0.5000 (multiplicity 1)  2 N 2.14
Te1 0.0000 0.5000 0.5000 (multiplicity 2)  2 Bi 2.96
N1 0.5000 0.5000 0.0000 (multiplicity 1)  2 Bi 2.14

Output
- ΔE_f (raw): 1647 meV/atom
- Relative energy among the computed polymorphs: 1.435 eV per atom

---

# 8
A plane-wave DFT calculation with PBE was carried out for a geometry-optimized Cs2NaGa structure.

Cell lengths 4.3999, 4.3999, 43.4368 Å; angles 90.00, 90.00, 120.00 degrees
With the nearest neighbours (Å) after each atom.
Space group R-3m (No. 166, hexagonal axes)
Asymmetric unit:
Cs1 0.0000 0.0000 0.0822 (multiplicity 6)  1 Ga 3.57
Na1 0.0000 0.0000 0.5000 (multiplicity 3)  6 Na 4.40, 6 Cs 4.46
Ga1 0.0000 0.0000 0.0000 (multiplicity 3)  2 Cs 3.57

Output
- Calculated formation energy: 417 meV/atom
- Relative energy among the computed polymorphs: 0.247 eV per atom

---

# 9
A plane-wave DFT calculation with PBE was carried out for a geometry-optimized NaNbIO2 structure.

Cell lengths 4.0492, 4.0492, 6.1143 Å; angles 90.00, 90.00, 90.00 degrees
With the nearest neighbours (Å) after each atom.
Space group P4/mmm (No. 123)
Asymmetric unit:
Na1 0.0000 0.0000 0.0000 (multiplicity 1)  4 I 2.86
Nb1 0.5000 0.5000 0.5000 (multiplicity 1)  4 O 2.02
I1 0.5000 0.5000 0.0000 (multiplicity 1)  4 Na 2.86, 2 Nb 3.06
O1 0.0000 0.5000 0.5000 (multiplicity 2)  2 Nb 2.02

Output
- ΔE_f (raw): -1537 meV/atom
- Relative energy among the computed polymorphs: 0.000 eV per atom

---

# 10
A plane-wave DFT calculation with PBE was carried out for a geometry-optimized In3Pd3Pb structure.

Cell lengths 7.3426, 7.3426, 7.3426 Å; angles 90.00, 90.00, 90.00 degrees
With the nearest neighbours (Å) after each atom.
Space group Pm-3n (No. 223)
Asymmetric unit:
In1 0.0000 0.2500 0.5000 (multiplicity 6)  4 Pd 2.60
Pd1 0.0000 0.5000 0.2500 (multiplicity 6)  4 In 2.60
Pb1 0.0000 0.0000 0.0000 (multiplicity 2)  12 In 4.10, 12 Pd 4.10

Output
- Calculated formation energy: 104 meV/atom

---

# 11
A plane-wave DFT calculation with PBE was carried out for a geometry-optimized Sm6Dy2Se3 structure.

Cell lengths 3.8746, 3.8746, 76.7115 Å; angles 90.00, 90.00, 120.00 degrees
With the nearest neighbours (Å) after each atom.
Space group R-3m (No. 166, hexagonal axes)
Asymmetric unit:
Sm1 0.0000 0.0000 0.0739 (multiplicity 6)  3 Se 2.95
Sm2 0.0000 0.0000 0.1852 (multiplicity 6)  3 Dy 3.61, 9 Sm 3.62-3.87
Sm3 0.0000 0.0000 0.3580 (multiplicity 6)  6 Se 2.91-2.93
Dy1 0.0000 0.0000 0.4445 (multiplicity 6)  6 Sm 3.61-3.63, 6 Dy 3.87
Se1 0.0000 0.0000 0.0000 (multiplicity 3)  6 Sm 2.93
Se2 0.0000 0.0000 0.2844 (multiplicity 6)  6 Sm 2.91-2.95

Output
- ΔE_f (raw): -896 meV/atom

---

# 12
A plane-wave DFT calculation with PBE was carried out for a geometry-optimized Th2MgAl structure.

Cell lengths 3.7902, 3.7902, 7.5518 Å; angles 90.00, 90.00, 90.00 degrees
With the nearest neighbours (Å) after each atom.
Space group P4/mmm (No. 123)
Asymmetric unit:
Th1 0.0000 0.0000 0.2399 (multiplicity 2)  4 Al 3.24, 4 Mg 3.32
Mg1 0.5000 0.5000 0.5000 (multiplicity 1)  8 Th 3.32
Al1 0.5000 0.5000 0.0000 (multiplicity 1)  8 Th 3.24

Output
- Calculated formation energy: -38 meV/atom

---

| no. | raw total energy (eV per cell) |
| --- | --- |
| 1 | -76.0 |
| 2 | -25.1 |
| 3 | -74.1 |
| 4 | -51.1 |
| 5 | -148.6 |
| 6 | -32.4 |
| 7 | -20.6 |
| 8 | -13.2 |
| 9 | -30.5 |
| 10 | -53.5 |
| 11 | -173.5 |
| 12 | -20.3 |